(1)
Entry from Alexandria via LeMat-Bulk: an optimized crystal structure of GeHS2 (PBE-GGA).

Summary:
Total moment, μB/atom: 0.0000
N(E_F), states/eV per atom: 0.6493
Energy above the lowest structure with this stoichiometry, eV per atom: 0.402

Unit cell a=6.2740 b=6.2740 c=6.2740 alpha=130.86 beta=130.86 gamma=72.03
With the nearest neighbours (Å) after each atom.
Fractional coordinates of all 8 atoms:
Ge  0.0000  0.0000  0.0000  4 S 2.43
Ge  0.7500  0.2500  0.5000  4 S 2.43
H  0.2500  0.7500  0.5000  4 S 2.07
H  0.5000  0.5000  0.0000  4 S 2.07
S  0.1843  0.6250  0.0593  2 H 2.07
S  0.3750  0.4343  0.5593  2 H 2.07
S  0.5657  0.1250  0.9407  2 H 2.07
S  0.8750  0.8157  0.4407  2 H 2.07



(2)
Entry from Alexandria via LeMat-Bulk: an optimized crystal structure of ZrSi2Tc (PBE-GGA).

Summary:
Total moment, μB/atom: 0.0000
Raw formation energy, meV/atom: -512
N(E_F), states/eV per atom: 0.4507
Energy above the lowest structure with this stoichiometry, eV per atom: 0.015

Unit cell a=4.0789 b=4.9637 c=4.9637 alpha=38.19 beta=90.00 gamma=90.00
With the nearest neighbours (Å) after each atom.
Fractional coordinates of all 4 atoms:
Zr  0.0000  0.0000  0.0000  7 Si 2.54-2.69
Si  0.0000  0.7289  0.7289  2 Si 2.51, 3 Zr 2.54-2.69, 4 Tc 2.65
Si  0.5000  0.5728  0.5728  2 Si 2.51, 3 Tc 2.55-2.73, 4 Zr 2.69
Tc  0.5000  0.2820  0.2820  7 Si 2.55-2.73